Material: Ni5H6Pd
Method: DFT, GGA-PBE
State: optimized geometry

```
12
Lattice="2.332 -4.028 0.000 2.332 4.028 0.000 -1.522 0.000 4.394" Properties=species:S:1:pos:R:3 pbc="T T T"
Ni 0.000 0.000 0.000
Ni 1.571 2.692 2.197
Ni 2.332 1.380 0.000
Ni 2.332 -1.380 0.000
Ni 1.571 -2.692 2.197
H 0.725 1.450 1.033
H -0.112 0.000 3.332
H 0.725 -1.450 1.033
H 2.418 1.450 3.361
H 3.255 0.000 1.062
H 2.418 -1.450 3.361
Pd 1.571 0.000 2.197
```

Properties
**Volume**: 83 Å³/f.u.
**E_tot**: -4.550 eV/atom
**SG**: No. 12